Here is an optimized crystal structure of LaEr2US8 from the Alexandria database. Energies are from PBE-GGA.

Geometry as CIF:
```
data_LaEr2US8
_space_group_name_H-M_alt 'P -1'
_space_group_IT_number 2
_space_group_name_Hall '-P 1'
_cell_length_a 5.946
_cell_length_b 6.168
_cell_length_c 8.426
_cell_angle_alpha 90.00
_cell_angle_beta 90.05
_cell_angle_gamma 90.36
loop_
_atom_site_label
_atom_site_type_symbol
_atom_site_fract_x
_atom_site_fract_y
_atom_site_fract_z
_atom_site_occupancy
La1 La 0.000 0.000 0.000 1
Er1 Er 0.500 0.500 0.259 1
U1 U 0.000 0.000 0.500 1
S1 S 0.230 0.440 0.000 1
S2 S 0.247 0.346 0.500 1
S3 S 0.250 0.869 0.275 1
S4 S 0.250 0.870 0.726 1
```

Properties
**Magnetic moment**: 0.00 μB per formula unit
**Formation energy (no corrections)**: -18.26 eV per formula unit
**V**: 309.0 Å³ per cell